Hf3Al2O | PBE | optimized geometry

Calculated values
**ΔE_f (raw)**: -1.11 eV/atom
**Calculated volume**: 97.6 Å³/f.u.

a = 7.3093 Å, b = 7.3093 Å, c = 7.3093 Å
α = 90.00°, β = 90.00°, γ = 90.00°
Space group P4_132 (No. 213)
Unique sites:
1 Hf 0.0450 0.1250 0.7950
2 Al 0.0705 0.9295 0.4295
3 O 0.1250 0.3750 0.6250

TmAg2PbF6 | PBE | optimized geometry

Calculated values
**ΔE_f (raw)**: -2.39 eV/atom
**Calculated volume**: 170.5 Å³/f.u.

a = 5.7244 Å, b = 5.8195 Å, c = 5.9392 Å
α = 74.27°, β = 63.87°, γ = 86.87°
Space group P1 (No. 1)
Unique sites:
1 Tm 0.0000 0.0000 0.0000
2 Ag 0.3201 0.6659 0.5279
3 Ag 0.6972 0.3550 0.5315
4 Pb 0.4693 0.4960 0.0470
5 F 0.0307 0.2749 0.6689
6 F 0.0502 0.7169 0.2920
7 F 0.0726 0.2576 0.1650
8 F 0.4003 0.9247 0.7783
9 F 0.5963 0.0794 0.1819
10 F 0.8914 0.7284 0.8732

Al2AgIBr | PBE | optimized geometry

Calculated values
**ΔE_f (raw)**: 0.24 eV/atom
**Calculated volume**: 152.3 Å³/f.u.

a = 5.2888 Å, b = 5.2888 Å, c = 5.4449 Å
α = 90.00°, β = 90.00°, γ = 90.00°
Space group P4/mmm (No. 123)
Unique sites:
1 Al 0.0000 0.5000 0.0000
2 Ag 0.0000 0.0000 0.0000
3 I 0.0000 0.0000 0.5000
4 Br 0.5000 0.5000 0.5000

Sr2HfMnS5 | PBE | optimized geometry

Calculated values
**ΔE_f (raw)**: -1.60 eV/atom
**Calculated volume**: 210.6 Å³/f.u.

a = 3.9224 Å, b = 17.1950 Å, c = 12.4924 Å
α = 90.00°, β = 90.00°, γ = 90.00°
Space group Cmc2_1 (No. 36)
Unique sites:
1 Sr 0.0000 0.1032 0.0000
2 Sr 0.0000 0.1259 0.6390
3 Hf 0.0000 0.2114 0.3495
4 Mn 0.0000 0.4369 0.7688
5 S 0.0000 0.0634 0.3782
6 S 0.0000 0.2808 0.9866
7 S 0.0000 0.3018 0.7102
8 S 0.0000 0.3557 0.3273
9 S 0.0000 0.5003 0.1052